Here is an optimized crystal structure of PuCl4 from Alexandria via LeMat-Bulk. Energies are from PBE.

```
PuCl4
1.0
3.4652 0.0000 0.0000
1.7326 6.7790 0.0000
1.7326 0.0000 6.7790
Pu Cl
1 4
Direct
0.0000 0.0000 0.0000 Pu
0.5430 0.1769 0.7370 Cl
0.7199 0.7370 0.8231 Cl
0.4570 0.8231 0.2630 Cl
0.2801 0.2630 0.1769 Cl
```

Values from the calculation:
Final energy in eV/atom: -5.85
ΔE_f (raw) in eV/atom: -1.508
Magnetization in μB/cell: 3.97